Density functional theory data (PBE) for a relaxed structure of Ac4Bi2O.

- Electronic total energy: -5.398 eV per atom
- Magnetization: 0.00 μB per formula unit
- E_form (uncorrected): -1.23 eV per atom

```
Ac4Bi2O
1.0
5.0221 0.0000 0.0000
0.0000 5.0221 0.0000
-2.5111 -2.5111 9.4526
Ac Bi O
4 2 1
Cartesian
2.5111 2.5111 6.0764
0.0000 0.0000 3.3762
0.0000 2.5111 0.0000
2.5111 0.0000 0.0000
2.5111 2.5111 2.5940
0.0000 0.0000 6.8586
0.0000 0.0000 0.0000
```